No. 1
A relaxed VSiMo crystal, computed with PBE.

Cell lengths 5.9672, 4.5896, 5.0887 Å; angles 75.94, 48.25, 55.81 degrees
Fractional coordinates of all 6 atoms:
V (0.0000, 0.0000, 0.0000)
V (0.2500, 0.2500, 0.2500)
Si (0.6653, 0.6653, 0.3347)
Si (0.9153, 0.9153, 0.5847)
Mo (0.3257, 0.3257, 0.6743)
Mo (0.5757, 0.5757, 0.9243)

Summary:
crystal system: orthorhombic
calculated total energy: -8.80 eV per atom
raw formation energy: -341 meV per atom



No. 2
A relaxed YHo2Er7 crystal, computed with PBE.

Cell lengths 9.4475, 9.4475, 5.2526 Å; angles 90.00, 90.00, 125.48 degrees
Fractional coordinates of all 10 atoms:
Y (0.0000, 0.0000, 0.0000)
Ho (0.2985, 0.7015, 0.5000)
Ho (0.7015, 0.2985, 0.5000)
Er (0.0674, 0.2883, 0.5000)
Er (0.1993, 0.8007, 0.0000)
Er (0.2883, 0.0674, 0.5000)
Er (0.5000, 0.5000, 0.5000)
Er (0.7117, 0.9326, 0.5000)
Er (0.8007, 0.1993, 0.0000)
Er (0.9326, 0.7117, 0.5000)

Summary:
excess energy over the best structure of this formula in the dataset: 0.6552 eV/atom
crystal system: orthorhombic
calculated total energy: -4.05 eV per atom



No. 3
A relaxed CaCr2Ru crystal, computed with PBE.

Cell lengths 2.9880, 3.7096, 6.4703 Å; angles 90.00, 90.00, 90.00 degrees
Fractional coordinates of all 4 atoms:
Ca (0.0000, 0.0000, 0.0000)
Cr (0.5000, 0.5000, 0.3475)
Cr (0.5000, 0.5000, 0.6525)
Ru (0.0000, 0.0000, 0.5000)

Summary:
excess energy over the best structure of this formula in the dataset: 0.1684 eV/atom
crystal system: orthorhombic
calculated total energy: -7.09 eV per atom



No. 4
A relaxed NaYAsBr2 crystal, computed with PBE.

Cell lengths 4.9933, 4.9933, 5.6961 Å; angles 90.00, 90.00, 90.00 degrees
Fractional coordinates of all 5 atoms:
Na (0.0000, 0.0000, 0.0000)
Y (0.5000, 0.5000, 0.5000)
As (0.0000, 0.0000, 0.5000)
Br (0.0000, 0.5000, 0.0000)
Br (0.5000, 0.0000, 0.0000)

Summary:
excess energy over the best structure of this formula in the dataset: 0.5516 eV/atom
crystal system: tetragonal
calculated total energy: -3.58 eV per atom
raw formation energy: -423 meV per atom



Which of these has the lowest calculated total energy?
VSiMo



Among the records above, which one has the highest calculated total energy?
NaYAsBr2